# SrRe2Ir

An optimized crystal structure of SrRe2Ir (PBE, Alexandria).

## Properties
As for the total moment: 0.285 μB per atom. As for the excess energy over the best structure of this formula in the dataset: 76.67 kJ/mol of atoms. Its space-group type is Fm-3m, No. 225. The value obtained for the density of states at the Fermi level is 7.9 states/eV/f.u. The value obtained for the energy relative to the elements is 1238 meV per atom.

Cell lengths 4.6114, 4.6114, 4.6114 Å; angles 60.00, 60.00, 60.00 degrees
Last column: magnetic moment on the atom in μB.
Fractional positions:
Re: 0.2500 0.2500 0.2500  0.36
Re: 0.7500 0.7500 0.7500  0.36
Ir: 0.5000 0.5000 0.5000  0.30
Sr: 0.0000 0.0000 0.0000  0.03

=====

# Hg2IrPb

An optimized crystal structure of Hg2IrPb (PBE, Alexandria).

## Properties
As for the total moment: 0.000 μB per atom. Its space-group type is Cmmm, No. 65. The value obtained for the density of states at the Fermi level is 2.0 states/eV/f.u. The value obtained for the energy relative to the elements is 555 meV per atom.

Cell lengths 5.2833, 5.2833, 3.3141 Å; angles 90.00, 90.00, 111.98 degrees
Fractional positions:
Hg: 0.0000 0.0000 0.0000
Hg: 0.5000 0.5000 0.0000
Ir: 0.5000 0.0000 0.5000
Pb: 0.0000 0.5000 0.5000

=====

# NdTmMg2

An optimized crystal structure of NdTmMg2 (PBE, Alexandria).

## Properties
As for the total moment: 0.000 μB per atom. As for the excess energy over the best structure of this formula in the dataset: 0.94 kJ/mol of atoms. Its space-group type is P4/mmm, No. 123. The value obtained for the density of states at the Fermi level is 4.1 states/eV/f.u. The value obtained for the energy relative to the elements is -81 meV per atom.

Cell lengths 3.8742, 5.3581, 5.3581 Å; angles 90.00, 90.00, 90.00 degrees
Fractional positions:
Mg: 0.0000 0.0000 0.5000
Mg: 0.0000 0.5000 0.0000
Tm: 0.5000 0.0000 0.0000
Nd: 0.5000 0.5000 0.5000

=====

# PmTc2SnO8

An optimized crystal structure of PmTc2SnO8 (PBE, Alexandria).

## Properties
The value obtained for the energy relative to the elements, uncorrected is -1567 meV per atom. As for the total moment: 0.254 μB per atom. Its space-group type is R-3, No. 148. The value obtained for the density of states at the Fermi level is 4.7 states/eV/f.u.

Cell lengths 5.8655, 5.8655, 6.8158 Å; angles 64.51, 64.51, 60.00 degrees
Last column: magnetic moment on the atom in μB.
Fractional positions:
Pm: 0.0000 0.0000 0.0000  0.03
Tc: 0.2457 0.2457 0.2628  0.96
Tc: 0.7543 0.7543 0.7372  0.96
Sn: 0.5000 0.5000 0.5000  0.08
O: 0.1455 0.1455 0.5636  0.13
O: 0.5541 0.3044 0.1930  0.06
O: 0.8545 0.8545 0.4364  0.13
O: 0.9485 0.5541 0.1930  0.06
O: 0.0515 0.4459 0.8070  0.06
O: 0.3044 0.9485 0.1930  0.06
O: 0.6956 0.0515 0.8070  0.06
O: 0.4459 0.6956 0.8070  0.06

=====

# Ta2TiRh

An optimized crystal structure of Ta2TiRh (PBE, Alexandria).

## Properties
As for the total moment: 0.000 μB per atom. Its space-group type is P4/mmm, No. 123. The value obtained for the density of states at the Fermi level is 4.7 states/eV/f.u. The value obtained for the energy relative to the elements is -163 meV per atom.

Cell lengths 4.4726, 3.8840, 3.8840 Å; angles 90.00, 90.00, 90.00 degrees
Fractional positions:
Ti: 0.5000 0.0000 0.0000
Rh: 0.5000 0.5000 0.5000
Ta: 0.0000 0.0000 0.5000
Ta: 0.0000 0.5000 0.0000

=====

# BaReRh

An optimized crystal structure of BaReRh (PBE, Alexandria).

## Properties
As for the total moment: 0.000 μB per atom. As for the excess energy over the best structure of this formula in the dataset: 16.78 kJ/mol of atoms. Its space-group type is P1, No. 1. The value obtained for the density of states at the Fermi level is 2.8 states/eV/f.u. The value obtained for the energy relative to the elements is 296 meV per atom.

Cell lengths 11.0243, 4.3441, 4.3427 Å; angles 60.02, 101.62, 89.87 degrees
Fractional positions:
Re: 0.0799 0.5222 0.6131
Re: 0.1678 0.8246 0.0067
Rh: 0.3147 0.4405 0.7740
Rh: 0.1861 0.1519 0.3524
Ba: 0.8780 0.2595 0.1412
Ba: 0.4844 0.0466 0.5585

=====

total moment of number 6 (BaReRh)? 0.000 μB per atom